(1)
Here is crystalline TbPr2Sm4Er2 at its relaxed geometry from the Alexandria database. Energies are from PBE.

The structure in POSCAR format:
```
TbPr2Sm4Er2
1.0
6.0750 0.0000 0.0000
2.8142 6.0788 0.0000
2.8882 0.3410 8.1901
Tb Pr Sm Er
1 2 4 2
direct
0.0000 0.0000 0.0000
0.2678 0.6761 0.6566
0.7322 0.3239 0.3434
0.2623 0.4218 0.1176
0.3796 0.8721 0.2400
0.6204 0.1279 0.7600
0.7377 0.5782 0.8824
0.1789 0.2295 0.5554
0.8211 0.7705 0.4446
```

Energy in eV for the cell shown: -41.514
SG: No. 2
ΔE_f in eV/atom: 0.0752

(2)
Here is crystalline Tb6Pr3SmEr2 at its relaxed geometry from the Alexandria database. Energies are from PBE.

The structure in POSCAR format:
```
Tb6Pr3SmEr2
1.0
3.1167 -5.3965 0.0000
3.1167 5.3965 0.0000
-2.0723 0.0000 11.7214
Tb Pr Sm Er
6 3 1 2
direct
0.0839 0.4178 0.7543
0.2481 0.2481 0.2457
0.4178 0.0839 0.7543
0.5822 0.9161 0.2457
0.7519 0.7519 0.7543
0.9161 0.5822 0.2457
0.0000 0.0000 0.5000
0.3331 0.6669 0.5000
0.6669 0.3331 0.5000
0.5000 0.5000 0.0000
0.1668 0.8332 0.0000
0.8332 0.1668 0.0000
```

Energy in eV for the cell shown: -55.748
SG: No. 12
ΔE_f in eV/atom: 0.0180

(3)
Here is crystalline Tb6Pr3Sm2Er at its relaxed geometry from the Alexandria database. Energies are from PBE.

The structure in POSCAR format:
```
Tb6Pr3Sm2Er
1.0
3.1259 -5.4131 0.0000
3.1259 5.4131 0.0000
-2.0800 0.0000 11.7385
Tb Pr Sm Er
6 3 2 1
direct
0.0823 0.4151 0.2468
0.2504 0.2504 0.7531
0.4151 0.0823 0.2468
0.5849 0.9177 0.7532
0.7496 0.7496 0.2469
0.9177 0.5849 0.7532
0.1667 0.8333 0.5000
0.5000 0.5000 0.5000
0.8333 0.1667 0.5000
0.3335 0.6665 0.0000
0.6665 0.3335 0.0000
0.0000 0.0000 0.0000
```

Energy in eV for the cell shown: -55.935
SG: No. 12
ΔE_f in eV/atom: 0.0155

(4)
Here is crystalline TbPr6Sm2Er at its relaxed geometry from the Alexandria database. Energies are from PBE.

The structure in POSCAR format:
```
TbPr6Sm2Er
1.0
4.6561 -7.7469 0.0000
4.6561 7.7469 0.0000
-1.3744 0.0000 9.7148
Tb Pr Sm Er
2 12 4 2
direct
0.0235 0.9765 0.7500
0.9765 0.0235 0.2500
0.0098 0.5683 0.6901
0.1188 0.7585 0.0536
0.2415 0.8812 0.4464
0.2926 0.5053 0.8819
0.4317 0.9902 0.8099
0.4947 0.7074 0.6181
0.5053 0.2926 0.3819
0.5683 0.0098 0.1901
0.7074 0.4947 0.1181
0.7585 0.1188 0.5536
0.8812 0.2415 0.9464
0.9902 0.4317 0.3099
0.1984 0.2966 0.5442
0.2966 0.1984 0.0442
0.7034 0.8016 0.9558
0.8016 0.7034 0.4558
0.4105 0.5895 0.2500
0.5895 0.4105 0.7500
```

Energy in eV for the cell shown: -92.346
SG: No. 15
ΔE_f in eV/atom: 0.1135

What is the energy in the first record?
-41.514 eV for the cell shown

What did the fourth record say?
Here is crystalline TbPr6Sm2Er at its relaxed geometry from the Alexandria database. Energies are from PBE.

The structure in POSCAR format:
```
TbPr6Sm2Er
1.0
4.6561 -7.7469 0.0000
4.6561 7.7469 0.0000
-1.3744 0.0000 9.7148
Tb Pr Sm Er
2 12 4 2
direct
0.0235 0.9765 0.7500
0.9765 0.0235 0.2500
0.0098 0.5683 0.6901
0.1188 0.7585 0.0536
0.2415 0.8812 0.4464
0.2926 0.5053 0.8819
0.4317 0.9902 0.8099
0.4947 0.7074 0.6181
0.5053 0.2926 0.3819
0.5683 0.0098 0.1901
0.7074 0.4947 0.1181
0.7585 0.1188 0.5536
0.8812 0.2415 0.9464
0.9902 0.4317 0.3099
0.1984 0.2966 0.5442
0.2966 0.1984 0.0442
0.7034 0.8016 0.9558
0.8016 0.7034 0.4558
0.4105 0.5895 0.2500
0.5895 0.4105 0.7500
```

Energy in eV for the cell shown: -92.346
SG: No. 15
ΔE_f in eV/atom: 0.1135

Among the records above, which one has the highest ΔE_f?
TbPr6Sm2Er